Compound: Y12Tm6Mg
Source: the Alexandria database
Functional: PBE
Structure: relaxed

For the electronic total energy, the calculation gives -309.07 eV for the cell shown. The value obtained for the density of states at the Fermi level is 1.81 states/eV per atom. For the formation energy, the calculation gives 0.16 eV per atom.

The structure belongs to space group R-3m (No. 166, hexagonal axes); the cell edges are 12.9111, 12.9111 and 12.7761 Å and the angles 90.00°, 90.00° and 120.00°. The asymmetric unit holds Y at (0.0000, 0.2613, 0.0000), Y at (0.0539, 0.5270, 0.1136), Tm at (0.0901, 0.1801, 0.7717) and Mg at (0.0000, 0.0000, 0.0000).

***

Compound: KCdInO3
Source: the Alexandria database
Functional: PBE
Structure: relaxed

For the formation energy without anion corrections, the calculation gives -1257 meV per atom. For the electronic total energy, the calculation gives -54.34 eV for the cell shown. The value obtained for the density of states at the Fermi level is 0.04 states/eV per atom.

The structure belongs to space group P2_1/m (No. 11); the cell edges are 7.239, 3.316 and 9.903 Å and the angles 90.00°, 96.18° and 90.00°. The asymmetric unit holds K at (0.159, 0.250, 0.226), Cd at (0.164, 0.250, 0.578), In at (0.382, 0.750, 0.881), O at (0.168, 0.750, 0.436), O at (0.207, 0.250, 0.806) and O at (0.407, 0.750, 0.101).

***

Compound: TlGeRu
Source: the Alexandria database
Functional: PBE
Structure: relaxed

For the electronic total energy, the calculation gives -32.42 eV for the cell shown. The value obtained for the density of states at the Fermi level is 0.49 states/eV per atom. For the formation energy, the calculation gives 0.02 eV per atom.

The structure belongs to space group P4/nmm (No. 129, origin choice 2); the cell edges are 4.380, 4.380 and 6.263 Å and the angles 90.00°, 90.00° and 90.00°. The asymmetric unit holds Tl at (0.250, 0.250, 0.160), Ge at (0.250, 0.250, 0.691) and Ru at (0.250, 0.750, 0.500).

***

Compound: Pm6SiBi2Te3
Source: the Alexandria database
Functional: PBE
Structure: relaxed

For the formation energy without anion corrections, the calculation gives -1183 meV per atom. For the electronic total energy, the calculation gives -130.63 eV for the cell shown. The value obtained for the density of states at the Fermi level is 0.38 states/eV per atom.

The structure belongs to space group C2/m (No. 12); the cell edges are 19.569, 4.456 and 9.002 Å and the angles 90.00°, 103.13° and 90.00°. The asymmetric unit holds Pm at (0.001, 0.000, 0.277), Pm at (0.154, 0.500, 0.577), Pm at (0.165, 0.500, 0.082), Si at (0.000, 0.500, 0.500), Bi at (0.167, 0.000, 0.833), Te at (0.000, 0.500, 0.000) and Te at (0.171, 0.000, 0.335).

***

Compound: Pa2ReSi
Source: the Alexandria database
Functional: PBE
Structure: relaxed

For the formation energy without anion corrections, the calculation gives -254 meV per atom. For the electronic total energy, the calculation gives -37.88 eV for the cell shown. The value obtained for the density of states at the Fermi level is 1.44 states/eV per atom.

The structure belongs to space group P4/mmm (No. 123); the cell edges are 4.316, 4.316 and 4.197 Å and the angles 90.00°, 90.00° and 90.00°. The asymmetric unit holds Pa at (0.000, 0.500, 0.000), Re at (0.000, 0.000, 0.500) and Si at (0.500, 0.500, 0.500).

***

Compound: ReNiRu3
Source: the Alexandria database
Functional: PBE
Structure: relaxed

For the electronic total energy, the calculation gives -36.70 eV for the cell shown. The value obtained for the density of states at the Fermi level is 1.45 states/eV per atom. For the formation energy, the calculation gives 1.87 eV per atom.

The structure belongs to space group Pm-3m (No. 221); the cell edges are 4.650, 4.650 and 4.650 Å and the angles 90.00°, 90.00° and 90.00°. The asymmetric unit holds Re at (0.000, 0.000, 0.000), Ni at (0.500, 0.500, 0.500) and Ru at (0.000, 0.000, 0.500).

***

Compound: Tl2PtW
Source: the Alexandria database
Functional: PBE
Structure: relaxed

For the electronic total energy, the calculation gives -40.11 eV for the cell shown. The value obtained for the density of states at the Fermi level is 1.11 states/eV per atom. For the formation energy, the calculation gives 0.92 eV per atom.

The structure belongs to space group I4/mmm (No. 139); the cell edges are 4.266, 4.266 and 8.688 Å and the angles 90.00°, 90.00° and 90.00°. The asymmetric unit holds Tl at (0.000, 0.500, 0.250), Pt at (0.000, 0.000, 0.000) and W at (0.000, 0.000, 0.500).

***

Compound: MnTc2Rh
Source: the Alexandria database
Functional: PBE
Structure: relaxed

For the electronic total energy, the calculation gives -37.31 eV for the cell shown. The value obtained for the density of states at the Fermi level is 0.83 states/eV per atom. For the formation energy, the calculation gives -0.01 eV per atom.

The structure belongs to space group P4/mmm (No. 123); the cell edges are 2.684, 2.684 and 7.503 Å and the angles 90.00°, 90.00° and 90.00°. The asymmetric unit holds Mn at (0.000, 0.000, 0.000), Tc at (0.500, 0.500, 0.234) and Rh at (0.000, 0.000, 0.500).